1.
VASP calculation (SCAN) on a PBEsol-optimized structure of Ca4Si3Pd4.

Total magnetic moment, μB/atom: 0.000
Energy relative to the elements, uncorrected, meV per atom: -871.3
Electronic total energy, eV per formula unit: -209.38
Mass density, g/cm3: 5.23

Unit cell a=10.720 b=10.720 c=7.734 alpha=108.43 beta=108.43 gamma=30.45
Atoms (fractional coordinates):
Ca  0.066  0.799  0.827
Ca  0.201  0.934  0.673
Ca  0.205  0.456  0.093
Ca  0.456  0.205  0.593
Ca  0.544  0.795  0.407
Ca  0.795  0.544  0.907
Ca  0.799  0.066  0.327
Ca  0.934  0.201  0.173
Si  0.039  0.305  0.565
Si  0.305  0.039  0.065
Si  0.381  0.619  0.250
Si  0.619  0.381  0.750
Si  0.695  0.961  0.935
Si  0.961  0.695  0.435
Pd  0.084  0.360  0.318
Pd  0.303  0.573  0.476
Pd  0.360  0.084  0.818
Pd  0.427  0.697  0.024
Pd  0.573  0.303  0.976
Pd  0.640  0.916  0.182
Pd  0.697  0.427  0.524
Pd  0.916  0.640  0.682

2.
VASP calculation (SCAN) on a PBEsol-optimized structure of Ta2CoIr.

Total magnetic moment, μB/atom: 0.271
Electronic total energy, eV per formula unit: -223.24
Mass density, g/cm3: 17.29

Unit cell a=3.977 b=3.977 c=3.723 alpha=90.00 beta=90.00 gamma=90.00
Atoms (fractional coordinates):
Ta  0.000  0.500  0.000
Ta  0.500  0.000  0.000
Co  0.000  0.000  0.500
Ir  0.500  0.500  0.500

3.
VASP calculation (SCAN) on a PBEsol-optimized structure of InCoRh3.

Total magnetic moment, μB/atom: 0.882
Electronic total energy, eV per formula unit: -143.29
Mass density, g/cm3: 7.59

Unit cell a=4.727 b=4.727 c=4.727 alpha=90.00 beta=90.00 gamma=90.00
Atoms (fractional coordinates):
In  0.000  0.000  0.000
Co  0.500  0.500  0.500
Rh  0.000  0.000  0.500
Rh  0.000  0.500  0.000
Rh  0.500  0.000  0.000

4.
VASP calculation (SCAN) on a PBEsol-optimized structure of BeFeRu2.

Total magnetic moment, μB/atom: 0.920
Electronic total energy, eV per formula unit: -91.31
Mass density, g/cm3: 9.33

Unit cell a=2.553 b=2.553 c=8.079 alpha=90.00 beta=90.00 gamma=115.51
Atoms (fractional coordinates):
Be  0.000  0.000  0.000
Fe  0.500  0.500  0.776
Ru  0.000  0.000  0.516
Ru  0.500  0.500  0.233

5.
VASP calculation (SCAN) on a PBEsol-optimized structure of PbBr3F.

Total magnetic moment, μB/atom: 0.163
Energy relative to the elements, uncorrected, meV per atom: -153.3
Electronic total energy, eV per formula unit: -138.47
Mass density, g/cm3: 4.58

Unit cell a=5.529 b=5.529 c=5.529 alpha=90.00 beta=90.00 gamma=90.00
Atoms (fractional coordinates):
Pb  0.000  0.000  0.000
Br  0.000  0.000  0.500
Br  0.000  0.500  0.000
Br  0.500  0.000  0.000
F  0.500  0.500  0.500

6.
VASP calculation (SCAN) on a PBEsol-optimized structure of YHSe3.

Total magnetic moment, μB/atom: 0.803
Electronic total energy, eV per formula unit: -91.39
Mass density, g/cm3: 3.39

Unit cell a=5.430 b=5.430 c=5.430 alpha=90.00 beta=90.00 gamma=90.00
Atoms (fractional coordinates):
Y  0.000  0.000  0.000
H  0.500  0.500  0.500
Se  0.000  0.000  0.500
Se  0.000  0.500  0.000
Se  0.500  0.000  0.000